No. 1
A relaxed Fe5O7F3 crystal, computed with PBE+U. Values from VASP.

The structure in Quantum ESPRESSO input format:
```
&SYSTEM
  ibrav = 0, nat = 30, ntyp = 3
/
ATOMIC_SPECIES
Fe 55.84 Fe.upf
O 16.00 O.upf
F 19.00 F.upf
CELL_PARAMETERS angstrom
4.6445 0.0000 0.0000
0.0000 4.6394 -0.0120
0.0000 4.5882 15.1772
ATOMIC_POSITIONS crystal
Fe 0.7481 0.0035 0.0011
Fe 0.7657 0.7640 0.2073
Fe 0.7703 0.5820 0.4001
Fe 0.7303 0.4430 0.5924
Fe 0.7649 0.2134 0.7989
Fe 0.2697 0.4430 0.0924
Fe 0.2519 0.0035 0.5011
Fe 0.2351 0.2134 0.2989
Fe 0.2343 0.7640 0.7073
Fe 0.2297 0.5820 0.9001
O 0.9529 0.8838 0.3018
O 0.9477 0.7025 0.4966
O 0.9252 0.4958 0.6961
O 0.9369 0.2841 0.9025
O 0.4443 0.3120 0.9984
O 0.4255 0.7187 0.6012
O 0.4367 0.4903 0.8038
O 0.0523 0.7025 0.9966
O 0.0748 0.4958 0.1961
O 0.0631 0.2841 0.4025
O 0.0471 0.8838 0.8018
O 0.5745 0.7187 0.1012
O 0.5557 0.3120 0.4984
O 0.5633 0.4903 0.3038
F 0.9609 0.1010 0.1030
F 0.4608 0.1054 0.1983
F 0.4533 0.9004 0.3986
F 0.0391 0.1010 0.6030
F 0.5467 0.9004 0.8986
F 0.5392 0.1054 0.6983
```

Calculated values
Volume in Å³/atom: 10.91
Energy in eV for the cell shown: -180.57
Space group: Pc

***

No. 2
A relaxed Fe6O5F7 crystal, computed with PBE+U. Values from VASP.

The structure in Quantum ESPRESSO input format:
```
&SYSTEM
  ibrav = 0, nat = 18, ntyp = 3
/
ATOMIC_SPECIES
Fe 55.84 Fe.upf
O 16.00 O.upf
F 19.00 F.upf
CELL_PARAMETERS angstrom
-1.6614 4.4292 -0.7839
-3.7571 -2.2549 -1.9472
-4.1757 -0.1165 8.1921
ATOMIC_POSITIONS crystal
Fe 0.9932 0.9932 0.8332
Fe 0.9932 0.9932 0.1668
Fe 0.0262 0.0262 0.5000
Fe 0.4960 0.4960 0.0000
Fe 0.4893 0.4893 0.6779
Fe 0.4893 0.4893 0.3221
O 0.2962 0.2962 0.8397
O 0.2962 0.2962 0.1603
O 0.3289 0.3289 0.5000
O 0.6938 0.6938 0.8367
O 0.6938 0.6938 0.1633
F 0.8068 0.1824 0.0000
F 0.8007 0.2003 0.3246
F 0.8007 0.2003 0.6754
F 0.7125 0.7125 0.5000
F 0.1824 0.8068 0.0000
F 0.2003 0.8007 0.6754
F 0.2003 0.8007 0.3246
```

Calculated values
Volume in Å³/atom: 11.69
Energy in eV for the cell shown: -105.90
Space group: Amm2

***

No. 3
A relaxed Fe5O7F3 crystal, computed with PBE+U. Values from VASP.

The structure in Quantum ESPRESSO input format:
```
&SYSTEM
  ibrav = 0, nat = 30, ntyp = 3
/
ATOMIC_SPECIES
Fe 55.84 Fe.upf
O 16.00 O.upf
F 19.00 F.upf
CELL_PARAMETERS angstrom
4.5797 0.0000 0.0000
0.0000 4.5967 -0.0300
0.0000 -0.0627 15.0347
ATOMIC_POSITIONS crystal
Fe 0.4961 0.2530 0.8525
Fe 0.5179 0.2204 0.0570
Fe 0.4757 0.2752 0.2495
Fe 0.4888 0.2752 0.4428
Fe 0.5225 0.2615 0.6477
Fe 0.0179 0.7796 0.9430
Fe 0.0225 0.7385 0.3523
Fe 0.9961 0.7470 0.1475
Fe 0.9888 0.7248 0.5572
Fe 0.9757 0.7248 0.7505
O 0.6890 0.4365 0.1534
O 0.6841 0.4503 0.3451
O 0.6842 0.4410 0.5445
O 0.6986 0.4493 0.7519
O 0.1890 0.5635 0.8466
O 0.1986 0.5507 0.2481
O 0.1842 0.5590 0.4555
O 0.1841 0.5497 0.6549
O 0.8127 0.9458 0.8451
O 0.8265 0.9409 0.0462
O 0.8032 0.9268 0.6535
O 0.3265 0.0591 0.9538
O 0.3032 0.0732 0.3465
O 0.3127 0.0542 0.1549
F 0.7090 0.4517 0.9534
F 0.2090 0.5483 0.0466
F 0.7954 0.9555 0.2515
F 0.7964 0.9487 0.4519
F 0.2954 0.0445 0.7485
F 0.2964 0.0513 0.5481
```

Calculated values
Volume in Å³/atom: 10.55
Energy in eV for the cell shown: -175.91
Space group: P2_1

***

No. 4
A relaxed Fe4O3F5 crystal, computed with PBE+U. Values from VASP.

The structure in Quantum ESPRESSO input format:
```
&SYSTEM
  ibrav = 0, nat = 24, ntyp = 3
/
ATOMIC_SPECIES
Fe 55.84 Fe.upf
O 16.00 O.upf
F 19.00 F.upf
CELL_PARAMETERS angstrom
3.0950 4.7761 0.0005
-3.0950 4.7761 0.0005
0.0000 4.0971 9.5773
ATOMIC_POSITIONS crystal
Fe 0.6409 0.1177 0.7566
Fe 0.8888 0.3724 0.2556
Fe 0.2500 0.2500 0.4943
Fe 0.7510 0.7510 0.5014
Fe 0.4921 0.4921 0.9903
Fe 0.3724 0.8888 0.2556
Fe 0.1177 0.6409 0.7566
Fe 0.0072 0.0072 0.0039
O 0.9319 0.9319 0.8522
O 0.8271 0.8271 0.6526
O 0.6720 0.6720 0.3508
O 0.1829 0.1829 0.3416
O 0.4199 0.4199 0.8380
O 0.0809 0.0809 0.1501
F 0.8409 0.3619 0.5990
F 0.5698 0.5698 0.1531
F 0.3236 0.3236 0.6484
F 0.9092 0.3951 0.9015
F 0.6655 0.1405 0.4011
F 0.3951 0.9092 0.9015
F 0.0840 0.6160 0.1006
F 0.3619 0.8409 0.5990
F 0.6160 0.0840 0.1006
F 0.1405 0.6655 0.4011
```

Calculated values
Volume in Å³/atom: 11.80
Energy in eV for the cell shown: -141.11
Space group: Cm

***

No. 5
A relaxed Fe4OF7 crystal, computed with PBE+U. Values from VASP.

The structure in Quantum ESPRESSO input format:
```
&SYSTEM
  ibrav = 0, nat = 24, ntyp = 3
/
ATOMIC_SPECIES
Fe 55.84 Fe.upf
O 16.00 O.upf
F 19.00 F.upf
CELL_PARAMETERS angstrom
3.1871 -6.8046 0.0000
3.1871 6.8046 0.0000
0.0000 0.0000 6.8824
ATOMIC_POSITIONS crystal
Fe 0.5259 0.0145 0.0000
Fe 0.9855 0.4741 0.0000
Fe 0.7492 0.2508 0.5000
Fe 0.2449 0.7551 0.5000
Fe 0.4965 0.5035 0.0000
Fe 0.9958 0.0042 0.0000
Fe 0.7335 0.7205 0.5000
Fe 0.2795 0.2665 0.5000
O 0.8486 0.1514 0.0000
O 0.6016 0.3984 0.5000
F 0.3462 0.6538 0.0000
F 0.4944 0.9946 0.2929
F 0.0054 0.5056 0.2929
F 0.4944 0.9946 0.7071
F 0.7455 0.7467 0.2060
F 0.2533 0.2545 0.2060
F 0.0054 0.5056 0.7071
F 0.6462 0.3538 0.0000
F 0.1537 0.8463 0.0000
F 0.3951 0.6049 0.5000
F 0.9051 0.0949 0.5000
F 0.0955 0.9045 0.5000
F 0.7455 0.7467 0.7940
F 0.2533 0.2545 0.7940
```

Calculated values
Volume in Å³/atom: 12.44
Energy in eV for the cell shown: -135.32
Space group: Amm2

***

No. 6
A relaxed FeOF crystal, computed with PBE+U. Values from VASP.

The structure in Quantum ESPRESSO input format:
```
&SYSTEM
  ibrav = 0, nat = 6, ntyp = 3
/
ATOMIC_SPECIES
Fe 55.84 Fe.upf
O 16.00 O.upf
F 19.00 F.upf
CELL_PARAMETERS angstrom
-2.8616 3.5693 -1.3462
0.8117 -1.6927 -4.3836
-2.4412 -1.8572 0.2651
ATOMIC_POSITIONS crystal
Fe 0.0000 0.0000 0.0000
Fe 0.5000 0.5000 0.5000
O 0.2997 0.2997 0.0000
O 0.7003 0.7003 0.0000
F 0.1929 0.8071 0.5000
F 0.8071 0.1929 0.5000
```

Calculated values
Volume in Å³/atom: 11.60
Energy in eV for the cell shown: -35.85
Space group: Cmmm

***

No. 7
A relaxed Fe4OF7 crystal, computed with PBE+U. Values from VASP.

The structure in Quantum ESPRESSO input format:
```
&SYSTEM
  ibrav = 0, nat = 24, ntyp = 3
/
ATOMIC_SPECIES
Fe 55.84 Fe.upf
O 16.00 O.upf
F 19.00 F.upf
CELL_PARAMETERS angstrom
-3.0014 2.1475 3.0879
1.3028 -4.0066 4.0284
8.3064 5.1841 4.6218
ATOMIC_POSITIONS crystal
Fe 0.4783 0.8559 0.3739
Fe 0.5123 0.3770 0.8670
Fe 0.5217 0.1441 0.6261
Fe 0.4877 0.6230 0.1330
Fe 0.0066 0.1304 0.1246
Fe 0.0125 0.3923 0.3710
Fe 0.9875 0.6077 0.6290
Fe 0.9934 0.8696 0.8754
O 0.3091 0.6191 0.3078
O 0.6909 0.3809 0.6922
F 0.2021 0.3306 0.5510
F 0.2125 0.1033 0.3041
F 0.1979 0.5968 0.8003
F 0.2034 0.8551 0.0485
F 0.3046 0.3509 0.0465
F 0.2978 0.0832 0.7876
F 0.3088 0.8538 0.5479
F 0.6954 0.6491 0.9535
F 0.6912 0.1462 0.4521
F 0.7022 0.9168 0.2124
F 0.7875 0.8967 0.6959
F 0.7966 0.1449 0.9515
F 0.8021 0.4032 0.1997
F 0.7979 0.6694 0.4490
```

Calculated values
Volume in Å³/atom: 12.53
Energy in eV for the cell shown: -135.93
Space group: P-1

***

No. 8
A relaxed Fe5O2F8 crystal, computed with PBE+U. Values from VASP.

The structure in Quantum ESPRESSO input format:
```
&SYSTEM
  ibrav = 0, nat = 30, ntyp = 3
/
ATOMIC_SPECIES
Fe 55.84 Fe.upf
O 16.00 O.upf
F 19.00 F.upf
CELL_PARAMETERS angstrom
-0.0275 4.7352 -0.6337
0.5505 -0.7783 -5.6154
-13.7235 0.0090 1.3509
ATOMIC_POSITIONS crystal
Fe 0.5000 0.5000 0.0000
Fe 0.5198 0.3003 0.4001
Fe 0.5243 0.9110 0.2067
Fe 0.4802 0.6997 0.5999
Fe 0.4757 0.0890 0.7933
Fe 0.9798 0.8196 0.3927
Fe 0.9617 0.5944 0.8143
Fe 0.0383 0.4056 0.1857
Fe 0.0202 0.1804 0.6073
Fe 0.0000 0.0000 0.0000
O 0.2129 0.2992 0.0465
O 0.2901 0.0077 0.6558
O 0.7099 0.9923 0.3442
O 0.7871 0.7008 0.9535
F 0.2009 0.7405 0.2654
F 0.1919 0.9237 0.8686
F 0.1781 0.4993 0.6626
F 0.1857 0.1229 0.4664
F 0.2940 0.8088 0.0646
F 0.2961 0.6206 0.4523
F 0.3075 0.4314 0.8624
F 0.3091 0.2382 0.2608
F 0.6909 0.7618 0.7392
F 0.6925 0.5686 0.1376
F 0.7060 0.1912 0.9354
F 0.7039 0.3794 0.5477
F 0.8081 0.0763 0.1314
F 0.8143 0.8771 0.5336
F 0.8219 0.5007 0.3374
F 0.7991 0.2595 0.7346
```

Calculated values
Volume in Å³/atom: 12.27
Energy in eV for the cell shown: -171.21
Space group: P-1

***

No. 9
A relaxed Fe2O3F crystal, computed with PBE+U. Values from VASP.

The structure in Quantum ESPRESSO input format:
```
&SYSTEM
  ibrav = 0, nat = 24, ntyp = 3
/
ATOMIC_SPECIES
Fe 55.84 Fe.upf
O 16.00 O.upf
F 19.00 F.upf
CELL_PARAMETERS angstrom
-1.5277 3.7679 2.1501
-3.3779 -2.6748 1.6090
6.6882 -2.7203 9.5190
ATOMIC_POSITIONS crystal
Fe 0.0055 0.9945 0.3740
Fe 0.0055 0.9945 0.6260
Fe 0.0036 0.9964 0.8755
Fe 0.0036 0.9964 0.1245
Fe 0.4749 0.5251 0.0000
Fe 0.5307 0.4693 0.5000
Fe 0.4816 0.5184 0.2506
Fe 0.4816 0.5184 0.7494
O 0.1795 0.8205 0.0000
O 0.1828 0.8172 0.2469
O 0.1828 0.8172 0.7531
O 0.3183 0.2938 0.6257
O 0.2948 0.3121 0.8760
O 0.3183 0.2938 0.3743
O 0.2948 0.3121 0.1240
O 0.6879 0.7052 0.8760
O 0.6879 0.7052 0.1240
O 0.7062 0.6817 0.3743
O 0.7062 0.6817 0.6257
O 0.8227 0.1773 0.5000
F 0.2262 0.7738 0.5000
F 0.8012 0.1988 0.7577
F 0.8018 0.1982 0.0000
F 0.8012 0.1988 0.2423
```

Calculated values
Volume in Å³/atom: 10.51
Energy in eV for the cell shown: -140.65
Space group: Amm2

***

No. 10
A relaxed Fe4O3F5 crystal, computed with PBE+U. Values from VASP.

The structure in Quantum ESPRESSO input format:
```
&SYSTEM
  ibrav = 0, nat = 24, ntyp = 3
/
ATOMIC_SPECIES
Fe 55.84 Fe.upf
O 16.00 O.upf
F 19.00 F.upf
CELL_PARAMETERS angstrom
-0.6540 3.7443 -2.8026
-4.8422 1.1381 2.6505
4.1294 6.3602 7.5334
ATOMIC_POSITIONS crystal
Fe 0.2739 0.7564 0.2647
Fe 0.1957 0.2430 0.7345
Fe 0.2676 0.5033 0.0019
Fe 0.2281 0.0033 0.4881
Fe 0.7261 0.7564 0.7647
Fe 0.7324 0.5033 0.5019
Fe 0.8043 0.2430 0.2345
Fe 0.7719 0.0033 0.9881
O 0.9643 0.2727 0.0685
O 0.9565 0.0277 0.8293
O 0.0357 0.2727 0.5685
O 0.0435 0.0277 0.3293
O 0.4513 0.7287 0.4426
O 0.5487 0.7287 0.9426
F 0.9425 0.7632 0.5825
F 0.9314 0.5240 0.3239
F 0.0686 0.5240 0.8239
F 0.0575 0.7632 0.0825
F 0.4539 0.2362 0.9183
F 0.4328 0.9831 0.6670
F 0.4580 0.4583 0.1787
F 0.5672 0.9831 0.1670
F 0.5420 0.4583 0.6787
F 0.5461 0.2362 0.4183
```

Calculated values
Volume in Å³/atom: 11.77
Energy in eV for the cell shown: -140.59
Space group: Pc

***

No. 11
A relaxed Fe6O5F7 crystal, computed with PBE+U. Values from VASP.

The structure in Quantum ESPRESSO input format:
```
&SYSTEM
  ibrav = 0, nat = 18, ntyp = 3
/
ATOMIC_SPECIES
Fe 55.84 Fe.upf
O 16.00 O.upf
F 19.00 F.upf
CELL_PARAMETERS angstrom
4.7275 0.0450 0.0395
0.1643 5.6912 -0.0034
0.1500 0.6206 7.7816
ATOMIC_POSITIONS crystal
Fe 0.5301 0.8470 0.6737
Fe 0.5394 0.5191 0.0026
Fe 0.4590 0.1838 0.3475
Fe 0.9907 0.3150 0.6750
Fe 0.0143 0.6533 0.3101
Fe 0.9771 0.9920 0.9947
O 0.7947 0.0374 0.7861
O 0.8000 0.7257 0.0976
O 0.6931 0.5385 0.7677
O 0.2965 0.1131 0.5827
O 0.3110 0.4790 0.2129
F 0.8196 0.3721 0.4332
F 0.7129 0.2092 0.1052
F 0.7146 0.8593 0.4364
F 0.2831 0.7919 0.8967
F 0.1806 0.9659 0.2160
F 0.1960 0.6189 0.5548
F 0.1875 0.2790 0.9072
```

Calculated values
Volume in Å³/atom: 11.63
Energy in eV for the cell shown: -104.35
Space group: P1

***

No. 12
A relaxed Fe3O5F crystal, computed with PBE+U. Values from VASP.

The structure in Quantum ESPRESSO input format:
```
&SYSTEM
  ibrav = 0, nat = 18, ntyp = 3
/
ATOMIC_SPECIES
Fe 55.84 Fe.upf
O 16.00 O.upf
F 19.00 F.upf
CELL_PARAMETERS angstrom
4.6386 0.0223 0.0295
0.2377 4.6326 0.0295
0.1661 0.1586 9.0332
ATOMIC_POSITIONS crystal
Fe 0.9993 0.9993 0.6609
Fe 0.0007 0.0007 0.3391
Fe 0.0000 0.0000 0.0000
Fe 0.5000 0.5000 0.5000
Fe 0.5277 0.5277 0.8326
Fe 0.4723 0.4723 0.1674
O 0.8081 0.8081 0.4968
O 0.8260 0.8260 0.8316
O 0.3173 0.7123 0.6696
O 0.2877 0.6827 0.3304
O 0.3073 0.6927 0.0000
O 0.7123 0.3173 0.6696
O 0.6827 0.2877 0.3304
O 0.6927 0.3073 0.0000
O 0.1919 0.1919 0.5032
O 0.1740 0.1740 0.1684
F 0.7899 0.7899 0.1660
F 0.2101 0.2101 0.8340
```

Calculated values
Volume in Å³/atom: 10.78
Energy in eV for the cell shown: -110.17
Space group: C2/m

***

No. 13
A relaxed Fe6OF11 crystal, computed with PBE+U. Values from VASP.

The structure in Quantum ESPRESSO input format:
```
&SYSTEM
  ibrav = 0, nat = 18, ntyp = 3
/
ATOMIC_SPECIES
Fe 55.84 Fe.upf
O 16.00 O.upf
F 19.00 F.upf
CELL_PARAMETERS angstrom
3.4418 -10.2195 0.0000
3.4418 10.2195 0.0000
0.0000 0.0000 3.1653
ATOMIC_POSITIONS crystal
Fe 0.0050 0.9950 0.0000
Fe 0.4960 0.5040 0.5000
Fe 0.6662 0.3338 0.0000
Fe 0.8356 0.1644 0.5000
Fe 0.1704 0.8296 0.5000
Fe 0.3428 0.6572 0.0000
O 0.3961 0.6039 0.5000
F 0.3042 0.2959 0.0000
F 0.3579 0.0170 0.0000
F 0.7041 0.6958 0.0000
F 0.6011 0.3989 0.5000
F 0.7345 0.2655 0.5000
F 0.0699 0.9301 0.5000
F 0.9830 0.6421 0.0000
F 0.0364 0.3735 0.0000
F 0.9353 0.0647 0.5000
F 0.2713 0.7287 0.5000
F 0.6265 0.9636 0.0000
```

Calculated values
Volume in Å³/atom: 12.37
Energy in eV for the cell shown: -95.44
Space group: Amm2

***

No. 14
A relaxed FeO2F2 crystal, computed with PBE+U. Values from VASP.

The structure in Quantum ESPRESSO input format:
```
&SYSTEM
  ibrav = 0, nat = 5, ntyp = 3
/
ATOMIC_SPECIES
Fe 55.84 Fe.upf
O 16.00 O.upf
F 19.00 F.upf
CELL_PARAMETERS angstrom
-1.2229 -0.5258 -3.6596
-3.2267 -1.7300 1.3268
-1.8544 3.5435 0.1106
ATOMIC_POSITIONS crystal
Fe 0.0000 0.0000 0.0000
O 0.5000 0.5000 0.5000
O 0.0000 0.0000 0.5000
F 0.0000 0.5000 0.0000
F 0.5000 0.0000 0.0000
```

Calculated values
Volume in Å³/atom: 12.13
Energy in eV for the cell shown: -22.14
Space group: P4/mmm

***

No. 15
A relaxed Fe2O3F crystal, computed with PBE+U. Values from VASP.

The structure in Quantum ESPRESSO input format:
```
&SYSTEM
  ibrav = 0, nat = 24, ntyp = 3
/
ATOMIC_SPECIES
Fe 55.84 Fe.upf
O 16.00 O.upf
F 19.00 F.upf
CELL_PARAMETERS angstrom
3.0024 -6.3859 0.0000
3.0024 6.3859 0.0000
0.0000 0.0000 6.9044
ATOMIC_POSITIONS crystal
Fe 0.1248 0.8752 0.7845
Fe 0.6248 0.3752 0.7155
Fe 0.3750 0.1250 0.2500
Fe 0.8750 0.6250 0.2500
Fe 0.1250 0.3750 0.7500
Fe 0.6250 0.8750 0.7500
Fe 0.3752 0.6248 0.2845
Fe 0.8752 0.1248 0.2155
O 0.9713 0.5287 0.7500
O 0.4713 0.0287 0.7500
O 0.1238 0.8762 0.0722
O 0.8762 0.1238 0.9278
O 0.6238 0.3762 0.4278
O 0.2786 0.2214 0.7500
O 0.7786 0.7214 0.7500
O 0.0287 0.4713 0.2500
O 0.5287 0.9713 0.2500
O 0.7214 0.7786 0.2500
O 0.2214 0.2786 0.2500
O 0.3762 0.6238 0.5722
F 0.6260 0.3740 0.0490
F 0.1260 0.8740 0.4510
F 0.3740 0.6260 0.9510
F 0.8740 0.1260 0.5490
```

Calculated values
Volume in Å³/atom: 11.03
Energy in eV for the cell shown: -146.61
Space group: Cmce